Record 1
DFT (PBEsol) results for a relaxed structure of AlHO2.

abc: 2.856 2.856 13.058
angles: 90.00 90.00 120.00
Fractional coordinates of all 12 atoms:
Al 0.000 0.000 0.000
Al 0.333 0.667 0.667
Al 0.667 0.333 0.333
H 0.000 0.000 0.500
H 0.333 0.667 0.167
H 0.667 0.333 0.833
O 0.000 0.000 0.407
O 0.000 0.000 0.593
O 0.333 0.667 0.074
O 0.333 0.667 0.259
O 0.667 0.333 0.741
O 0.667 0.333 0.926

Computed properties:
The calculation puts the density of states at the Fermi level at 0.00 states/eV per cell. For the total magnetization, the calculation gives 0.00 μB per formula unit. As for the final energy: -6.828 eV per atom. As for the mass density: 3240 kg/m3.

***

Record 2
DFT (PBEsol) results for a relaxed structure of AlHO2.

abc: 2.886 3.739 5.965
angles: 90.00 91.64 90.00
Fractional coordinates of all 8 atoms:
Al 0.241 0.250 0.363
Al 0.759 0.750 0.637
H 0.283 0.750 0.001
H 0.717 0.250 0.999
O 0.246 0.750 0.421
O 0.270 0.750 0.837
O 0.730 0.250 0.163
O 0.754 0.250 0.579

Computed properties:
The calculation puts the density of states at the Fermi level at 0.00 states/eV per cell. For the total magnetization, the calculation gives 0.00 μB per formula unit. As for the final energy: -6.771 eV per atom. As for the mass density: 3096 kg/m3.

***

Record 3
DFT (PBEsol) results for a relaxed structure of AlHO2.

abc: 2.882 16.420 3.655
angles: 90.00 90.00 90.00
Fractional coordinates of all 16 atoms:
Al 0.250 0.051 0.250
Al 0.250 0.449 0.250
Al 0.750 0.551 0.750
Al 0.750 0.949 0.750
H 0.250 0.660 0.527
H 0.250 0.840 0.527
H 0.750 0.160 0.473
H 0.750 0.340 0.473
O 0.250 0.030 0.752
O 0.250 0.470 0.752
O 0.250 0.626 0.747
O 0.250 0.874 0.747
O 0.750 0.126 0.253
O 0.750 0.374 0.253
O 0.750 0.530 0.248
O 0.750 0.970 0.248

Computed properties:
The calculation puts the density of states at the Fermi level at 0.00 states/eV per cell. For the total magnetization, the calculation gives 0.00 μB per formula unit. As for the final energy: -6.755 eV per atom. As for the mass density: 2303 kg/m3.

***

Record 4
DFT (PBEsol) results for a relaxed structure of AlHO2.

abc: 2.840 4.185 4.701
angles: 90.00 90.00 90.00
Fractional coordinates of all 8 atoms:
Al 0.000 0.235 0.000
Al 0.500 0.765 0.500
H 0.000 0.281 0.490
H 0.500 0.719 0.990
O 0.000 0.007 0.652
O 0.000 0.494 0.355
O 0.500 0.506 0.855
O 0.500 0.993 0.152

Computed properties:
The calculation puts the density of states at the Fermi level at 0.00 states/eV per cell. For the total magnetization, the calculation gives 0.00 μB per formula unit. As for the final energy: -6.818 eV per atom. As for the mass density: 3566 kg/m3.

***

Record 5
DFT (PBEsol) results for a relaxed structure of AlHO2.

abc: 2.868 11.828 3.713
angles: 90.00 90.00 90.00
Fractional coordinates of all 16 atoms:
Al 0.000 0.180 0.000
Al 0.000 0.820 0.500
Al 0.500 0.320 0.500
Al 0.500 0.680 0.000
H 0.000 0.484 0.301
H 0.000 0.516 0.801
H 0.500 0.016 0.801
H 0.500 0.984 0.301
O 0.000 0.208 0.499
O 0.000 0.425 0.503
O 0.000 0.575 0.003
O 0.000 0.792 0.999
O 0.500 0.075 0.003
O 0.500 0.292 0.999
O 0.500 0.708 0.499
O 0.500 0.925 0.503

Computed properties:
The calculation puts the density of states at the Fermi level at 0.00 states/eV per cell. For the total magnetization, the calculation gives 0.00 μB per formula unit. As for the final energy: -6.829 eV per atom. As for the mass density: 3163 kg/m3.

***

Record 6
DFT (PBEsol) results for a relaxed structure of AlHO2.

abc: 12.217 2.859 3.692
angles: 90.00 90.00 90.00
Fractional coordinates of all 16 atoms:
Al 0.068 0.250 0.249
Al 0.432 0.750 0.749
Al 0.568 0.250 0.251
Al 0.932 0.750 0.751
H 0.226 0.750 0.067
H 0.274 0.250 0.567
H 0.726 0.750 0.433
H 0.774 0.250 0.933
O 0.040 0.250 0.749
O 0.170 0.750 0.259
O 0.330 0.250 0.759
O 0.460 0.750 0.249
O 0.540 0.250 0.751
O 0.670 0.750 0.241
O 0.830 0.250 0.741
O 0.960 0.750 0.251

Computed properties:
The calculation puts the density of states at the Fermi level at 0.00 states/eV per cell. For the total magnetization, the calculation gives 0.00 μB per formula unit. As for the final energy: -6.793 eV per atom. As for the mass density: 3090 kg/m3.

***

Record 7
DFT (PBEsol) results for a relaxed structure of AlHO2.

abc: 4.161 4.693 2.839
angles: 90.00 90.00 90.00
Fractional coordinates of all 8 atoms:
Al 0.000 0.000 0.000
Al 0.500 0.500 0.500
H 0.000 0.500 0.000
H 0.500 0.000 0.500
O 0.240 0.353 0.000
O 0.260 0.853 0.500
O 0.740 0.147 0.500
O 0.760 0.647 0.000

Computed properties:
The calculation puts the density of states at the Fermi level at 0.00 states/eV per cell. For the total magnetization, the calculation gives 0.00 μB per formula unit. As for the final energy: -6.816 eV per atom. As for the mass density: 3594 kg/m3.

***

Record 8
DFT (PBEsol) results for a relaxed structure of AlPHO2.

abc: 3.443 3.443 5.326
angles: 90.00 90.00 90.00
Fractional coordinates of all 5 atoms:
Al 0.000 0.000 0.000
P 0.000 0.000 0.500
H 0.500 0.500 0.500
O 0.000 0.500 0.000
O 0.500 0.000 0.000

Computed properties:
The calculation puts the density of states at the Fermi level at 3.39 states/eV per cell. For the total magnetization, the calculation gives 0.54 μB per formula unit. As for the final energy: -5.028 eV per atom. As for the mass density: 2393 kg/m3.

***

Record 9
DFT (PBEsol) results for a relaxed structure of AlPH4O6.

abc: 5.128 9.693 9.671
angles: 90.00 120.51 90.00
Fractional coordinates of all 48 atoms:
Al 0.115 0.176 0.210
Al 0.115 0.324 0.710
Al 0.885 0.676 0.290
Al 0.885 0.824 0.790
P 0.270 0.642 0.677
P 0.270 0.858 0.177
P 0.730 0.142 0.823
P 0.730 0.358 0.323
H 0.091 0.039 0.755
H 0.091 0.461 0.255
H 0.332 0.163 0.517
H 0.332 0.337 0.017
H 0.381 0.563 0.307
H 0.381 0.937 0.807
H 0.410 0.688 0.027
H 0.410 0.812 0.527
H 0.590 0.188 0.473
H 0.590 0.312 0.973
H 0.619 0.063 0.193
H 0.619 0.437 0.693
H 0.668 0.663 0.983
H 0.668 0.837 0.483
H 0.909 0.539 0.745
H 0.909 0.961 0.245
O 0.068 0.673 0.749
O 0.068 0.827 0.249
O 0.140 0.710 0.510
O 0.140 0.790 0.010
O 0.160 0.561 0.271
O 0.160 0.939 0.771
O 0.289 0.017 0.167
O 0.289 0.483 0.667
O 0.384 0.146 0.432
O 0.384 0.354 0.932
O 0.411 0.203 0.711
O 0.411 0.297 0.211
O 0.589 0.703 0.789
O 0.589 0.797 0.289
O 0.616 0.646 0.068
O 0.616 0.854 0.568
O 0.711 0.517 0.333
O 0.711 0.983 0.833
O 0.840 0.061 0.229
O 0.840 0.439 0.729
O 0.860 0.210 0.990
O 0.860 0.290 0.490
O 0.932 0.173 0.751
O 0.932 0.327 0.251

Computed properties:
The calculation puts the density of states at the Fermi level at 0.00 states/eV per cell. For the total magnetization, the calculation gives 0.00 μB per formula unit. The value obtained for the energy relative to the lowest polymorph listed for this composition is 0 meV per atom. As for the mass density: 2534 kg/m3.

***

Record 10
DFT (PBEsol) results for a relaxed structure of AlPH4O6.

abc: 8.528 9.571 9.852
angles: 90.00 90.00 90.00
Fractional coordinates of all 96 atoms:
Al 0.157 0.168 0.134
Al 0.157 0.332 0.634
Al 0.343 0.668 0.134
Al 0.343 0.832 0.634
Al 0.657 0.168 0.366
Al 0.657 0.332 0.866
Al 0.843 0.668 0.366
Al 0.843 0.832 0.866
P 0.027 0.646 0.649
P 0.027 0.854 0.149
P 0.473 0.146 0.649
P 0.473 0.354 0.149
P 0.527 0.646 0.851
P 0.527 0.854 0.351
P 0.973 0.146 0.851
P 0.973 0.354 0.351
H 0.145 0.566 0.968
H 0.145 0.934 0.468
H 0.154 0.584 0.323
H 0.154 0.916 0.823
H 0.195 0.180 0.380
H 0.195 0.320 0.880
H 0.210 0.051 0.575
H 0.210 0.449 0.075
H 0.290 0.551 0.575
H 0.290 0.949 0.075
H 0.305 0.680 0.380
H 0.305 0.820 0.880
H 0.346 0.084 0.323
H 0.346 0.416 0.823
H 0.355 0.066 0.968
H 0.355 0.434 0.468
H 0.645 0.566 0.532
H 0.645 0.934 0.032
H 0.654 0.584 0.177
H 0.654 0.916 0.677
H 0.695 0.180 0.120
H 0.695 0.320 0.620
H 0.710 0.051 0.925
H 0.710 0.449 0.425
H 0.790 0.551 0.925
H 0.790 0.949 0.425
H 0.805 0.680 0.120
H 0.805 0.820 0.620
H 0.846 0.084 0.177
H 0.846 0.416 0.677
H 0.855 0.066 0.532
H 0.855 0.434 0.032
O 0.014 0.015 0.147
O 0.014 0.485 0.647
O 0.015 0.208 0.713
O 0.015 0.292 0.213
O 0.087 0.209 0.958
O 0.087 0.291 0.458
O 0.177 0.552 0.062
O 0.177 0.948 0.562
O 0.199 0.681 0.612
O 0.199 0.819 0.112
O 0.233 0.114 0.307
O 0.233 0.386 0.807
O 0.267 0.614 0.307
O 0.267 0.886 0.807
O 0.301 0.181 0.612
O 0.301 0.319 0.112
O 0.323 0.052 0.062
O 0.323 0.448 0.562
O 0.413 0.709 0.958
O 0.413 0.791 0.458
O 0.485 0.708 0.713
O 0.485 0.792 0.213
O 0.486 0.515 0.147
O 0.486 0.985 0.647
O 0.514 0.015 0.353
O 0.514 0.485 0.853
O 0.515 0.208 0.787
O 0.515 0.292 0.287
O 0.587 0.209 0.542
O 0.587 0.291 0.042
O 0.677 0.552 0.438
O 0.677 0.948 0.938
O 0.699 0.681 0.888
O 0.699 0.819 0.388
O 0.733 0.114 0.193
O 0.733 0.386 0.693
O 0.767 0.614 0.193
O 0.767 0.886 0.693
O 0.801 0.181 0.888
O 0.801 0.319 0.388
O 0.823 0.052 0.438
O 0.823 0.448 0.938
O 0.913 0.709 0.542
O 0.913 0.791 0.042
O 0.985 0.708 0.787
O 0.985 0.792 0.287
O 0.986 0.515 0.353
O 0.986 0.985 0.853

Computed properties:
The calculation puts the density of states at the Fermi level at 0.00 states/eV per cell. For the total magnetization, the calculation gives 0.00 μB per formula unit. The value obtained for the energy relative to the lowest polymorph listed for this composition is 3 meV per atom. As for the mass density: 2610 kg/m3.

***

Record 11
DFT (PBEsol) results for a relaxed structure of AlP2H5O9.

abc: 7.706 9.063 9.287
angles: 90.00 110.56 90.00
Fractional coordinates of all 68 atoms:
Al 0.134 0.218 0.437
Al 0.134 0.282 0.937
Al 0.866 0.718 0.063
Al 0.866 0.782 0.563
P 0.136 0.622 0.866
P 0.136 0.878 0.366
P 0.379 0.097 0.765
P 0.379 0.403 0.265
P 0.621 0.597 0.735
P 0.621 0.903 0.235
P 0.864 0.122 0.634
P 0.864 0.378 0.134
H 0.124 0.091 0.142
H 0.124 0.409 0.642
H 0.230 0.628 0.243
H 0.230 0.872 0.743
H 0.262 0.033 0.065
H 0.262 0.467 0.565
H 0.375 0.703 0.573
H 0.375 0.797 0.073
H 0.453 0.648 0.932
H 0.453 0.852 0.432
H 0.547 0.148 0.568
H 0.547 0.352 0.068
H 0.625 0.203 0.927
H 0.625 0.297 0.427
H 0.738 0.533 0.435
H 0.738 0.967 0.935
H 0.770 0.128 0.257
H 0.770 0.372 0.757
H 0.876 0.591 0.358
H 0.876 0.909 0.858
O 0.026 0.651 0.969
O 0.026 0.849 0.469
O 0.086 0.724 0.726
O 0.086 0.776 0.226
O 0.124 0.041 0.320
O 0.124 0.459 0.820
O 0.157 0.103 0.048
O 0.157 0.397 0.548
O 0.279 0.198 0.838
O 0.279 0.302 0.338
O 0.345 0.663 0.970
O 0.345 0.837 0.470
O 0.348 0.570 0.287
O 0.348 0.930 0.787
O 0.350 0.137 0.597
O 0.350 0.363 0.097
O 0.406 0.610 0.641
O 0.406 0.890 0.141
O 0.594 0.110 0.859
O 0.594 0.390 0.359
O 0.650 0.637 0.903
O 0.650 0.863 0.403
O 0.652 0.070 0.213
O 0.652 0.430 0.713
O 0.655 0.163 0.530
O 0.655 0.337 0.030
O 0.721 0.698 0.662
O 0.721 0.802 0.162
O 0.843 0.603 0.452
O 0.843 0.897 0.952
O 0.876 0.541 0.180
O 0.876 0.959 0.680
O 0.914 0.224 0.774
O 0.914 0.276 0.274
O 0.974 0.151 0.531
O 0.974 0.349 0.031

Computed properties:
The calculation puts the density of states at the Fermi level at 0.00 states/eV per cell. For the total magnetization, the calculation gives 0.00 μB per formula unit. As for the final energy: -6.543 eV per atom. As for the mass density: 2603 kg/m3.

***

Record 12
DFT (PBEsol) results for a relaxed structure of SrAl3P2H7O14.

abc: 6.634 6.634 6.634
angles: 64.99 64.99 64.99
Fractional coordinates of all 27 atoms:
Sr 0.000 0.000 0.000
Al 0.503 0.998 0.998
Al 0.998 0.503 0.998
Al 0.998 0.998 0.503
P 0.312 0.312 0.312
P 0.685 0.685 0.685
H 0.287 0.693 0.693
H 0.294 0.294 0.724
H 0.294 0.724 0.294
H 0.479 0.479 0.479
H 0.693 0.287 0.693
H 0.693 0.693 0.287
H 0.724 0.294 0.294
O 0.113 0.741 0.741
O 0.165 0.165 0.521
O 0.165 0.521 0.165
O 0.259 0.259 0.893
O 0.259 0.893 0.259
O 0.414 0.414 0.414
O 0.481 0.836 0.836
O 0.521 0.165 0.165
O 0.585 0.585 0.585
O 0.741 0.113 0.741
O 0.741 0.741 0.113
O 0.836 0.481 0.836
O 0.836 0.836 0.481
O 0.893 0.259 0.259

Computed properties:
The calculation puts the density of states at the Fermi level at 0.00 states/eV per cell. For the total magnetization, the calculation gives 0.00 μB per formula unit. As for the final energy: -6.677 eV per atom. As for the mass density: 3348 kg/m3.

***

Among the records above, which one has the highest total magnetization?
AlPHO2

***

Among the records above, which one has the highest mass density?
number 7

***

What did the second record say?
DFT (PBEsol) results for a relaxed structure of AlHO2.

abc: 2.886 3.739 5.965
angles: 90.00 91.64 90.00
Fractional coordinates of all 8 atoms:
Al 0.241 0.250 0.363
Al 0.759 0.750 0.637
H 0.283 0.750 0.001
H 0.717 0.250 0.999
O 0.246 0.750 0.421
O 0.270 0.750 0.837
O 0.730 0.250 0.163
O 0.754 0.250 0.579

Computed properties:
The calculation puts the density of states at the Fermi level at 0.00 states/eV per cell. For the total magnetization, the calculation gives 0.00 μB per formula unit. As for the final energy: -6.771 eV per atom. As for the mass density: 3096 kg/m3.